Entry 1:
## BiW3F (PBE+U)

Data for a relaxed BiW3F crystal.

## Properties
Density ... 6.64 Mg/m³
Uncorrected energy ... -17.27 eV for the cell shown
D(E_F) ... 2.9 states/eV/f.u.

Lattice parameters (Å, degrees): 5.7974 5.7974 5.7974 90.00 90.00 90.00
Space group Pm-3m (No. 221)
Unique sites:
Bi 0.0000 0.0000 0.0000
W 0.0000 0.0000 0.5000
F 0.5000 0.5000 0.5000

***

Entry 2:
## Bi3WF (PBE+U)

Data for a relaxed Bi3WF crystal.

## Properties
Density ... 8.76 Mg/m³
Uncorrected energy ... -18.14 eV for the cell shown
D(E_F) ... 4.2 states/eV/f.u.

Lattice parameters (Å, degrees): 5.3974 5.3974 5.3974 90.00 90.00 90.00
Space group Pm-3m (No. 221)
Unique sites:
Bi 0.0000 0.0000 0.5000
W 0.0000 0.0000 0.0000
F 0.5000 0.5000 0.5000

***

What is the formula in the second record?
Bi3WF

***

Number 1 is which compound?
BiW3F

***

Which value of uncorrected energy does entry 2 give?
-18.14 eV for the cell shown